(1)
# Dy4FePd

A geometry-optimized Dy4FePd structure (PBE, Alexandria via LeMat-Bulk).

Lattice parameters (Å, degrees): 7.806 7.806 6.151 107.26 107.26 111.26
Atoms (fractional coordinates):
Dy 0.054 0.706 0.909
Dy 0.225 0.354 0.707
Dy 0.294 0.946 0.591
Dy 0.354 0.225 0.207
Dy 0.646 0.775 0.793
Dy 0.706 0.054 0.409
Dy 0.775 0.646 0.293
Dy 0.946 0.294 0.091
Fe 0.002 0.998 0.250
Fe 0.998 0.002 0.750
Pd 0.365 0.635 0.250
Pd 0.635 0.365 0.750

Properties
magnetic moment	0.000	μB per atom

---

(2)
# MnIrRu2

A geometry-optimized MnIrRu2 structure (PBE, Alexandria via LeMat-Bulk).

Lattice parameters (Å, degrees): 8.897 2.707 4.635 90.00 100.13 90.00
Atoms (fractional coordinates):
Mn 0.000 0.000 0.000
Mn 0.500 0.500 0.000
Ir 0.250 0.000 0.754
Ir 0.750 0.500 0.754
Ru 0.000 0.500 0.496
Ru 0.250 0.500 0.253
Ru 0.500 0.000 0.496
Ru 0.750 0.000 0.253

Properties
magnetic moment	0.519	μB per atom
energy above the lowest structure with this stoichiometry	0.0372	eV/atom

---

| no. | V (Å³/atom) | ρ (g/cm³) | DFT formation energy (eV per atom) |
| --- | --- | --- | --- |
| 1 | 24.767 | 9.08 | -0.295 |
| 2 | 13.735 | 13.58 | -0.011 |